Entry 1:
Material: Te2RhSe
Method: DFT, GGA-PBE
State: relaxed

Computed properties:
Symmetry: P4/mmm
Uncorrected formation energy: 0.096 eV per atom
Total DFT energy (no corrections): -4.18 eV/atom

Cell: 3.1472 3.1472 9.3712 Å, 90.00 90.00 90.01°
Fractional coordinates of all 4 atoms:
Te (0.0000, 0.0000, 0.4390)
Te (0.0000, 0.0000, 0.0610)
Rh (0.5000, 0.5000, 0.2500)
Se (0.5000, 0.5000, 0.7500)

Entry 2:
Material: CaCuSb
Method: DFT, GGA-PBE
State: relaxed

Computed properties:
Symmetry: Imm2
Uncorrected formation energy: -0.203 eV per atom
Total DFT energy (no corrections): -3.61 eV/atom

Cell: 5.1838 5.1838 5.1838 Å, 132.06 132.39 69.88°
Fractional coordinates of all 3 atoms:
Sb (0.3485, 0.3485, 0.0000)
Ca (0.9974, 0.9974, 0.0000)
Cu (0.6541, 0.6541, 0.0000)

Entry 3:
Material: FeTeOs
Method: DFT, GGA-PBE
State: relaxed

Computed properties:
Symmetry: F-43m
Uncorrected formation energy: 0.432 eV per atom
Total DFT energy (no corrections): -7.18 eV/atom
ΔE to the lowest computed polymorph: 0.000 eV per atom

Cell: 4.2939 4.2939 4.2939 Å, 60.00 60.00 60.00°
Fractional coordinates of all 3 atoms:
Te (0.0000, 0.0000, 0.0000)
Os (0.7500, 0.7500, 0.7500)
Fe (0.5000, 0.5000, 0.5000)

Entry 4:
Material: SmDyZnOs
Method: DFT, GGA-PBE
State: relaxed

Computed properties:
Symmetry: F-43m
E_form: -0.22 eV per atom
Total DFT energy (no corrections): -5.67 eV/atom

Cell: 4.9617 4.9617 4.9617 Å, 60.00 60.00 60.00°
Fractional coordinates of all 4 atoms:
Os (0.5000, 0.5000, 0.5000)
Sm (0.7500, 0.7500, 0.7500)
Zn (0.0000, 0.0000, 0.0000)
Dy (0.2500, 0.2500, 0.2500)

Entry 5:
Material: Pm4CdAg2Hg
Method: DFT, GGA-PBE
State: relaxed

Computed properties:
Symmetry: R-3m
E_form: -0.33 eV per atom
Total DFT energy (no corrections): -3.57 eV/atom

Cell: 5.3324 5.3324 9.2668 Å, 73.28 73.28 60.00°
Fractional coordinates of all 8 atoms:
Cd (0.0000, 0.0000, 0.0000)
Hg (0.5000, 0.5000, 0.5000)
Ag (0.2538, 0.2538, 0.2387)
Ag (0.7462, 0.7462, 0.7613)
Pm (0.8739, 0.8739, 0.3783)
Pm (0.1261, 0.1261, 0.6217)
Pm (0.6236, 0.6236, 0.1293)
Pm (0.3764, 0.3764, 0.8707)

Entry 6:
Material: Tl2SbSe
Method: DFT, GGA-PBE
State: relaxed

Computed properties:
Symmetry: P4mm
Uncorrected formation energy: -0.045 eV per atom
Total DFT energy (no corrections): -3.13 eV/atom
ΔE to the lowest computed polymorph: 0.052 eV per atom

Cell: 4.0031 4.0031 7.4281 Å, 90.00 90.00 90.00°
Fractional coordinates of all 4 atoms:
Tl (0.0000, 0.0000, 0.9925)
Tl (0.5000, 0.5000, 0.2590)
Se (0.5000, 0.5000, 0.6865)
Sb (0.0000, 0.0000, 0.5620)

Entry 7:
Material: Ac2Pm5PrHo
Method: DFT, GGA-PBE
State: relaxed

Computed properties:
Symmetry: Cmc2_1
E_form: 0.14 eV per atom
Total DFT energy (no corrections): -4.45 eV/atom

Cell: 5.8592 10.7121 10.9756 Å, 90.00 90.00 105.87°
Fractional coordinates of all 18 atoms:
Pm (0.5170, 0.0340, 0.2414)
Pm (0.9812, 0.9625, 0.5218)
Pm (0.2818, 0.5635, 0.3127)
Pm (0.7046, 0.4091, 0.2050)
Pm (0.7182, 0.4365, 0.8127)
Pm (0.4830, 0.9660, 0.7414)
Pm (0.6133, 0.2266, 0.5197)
Pm (0.2954, 0.5909, 0.7050)
Pm (0.0188, 0.0375, 0.0218)
Pm (0.3867, 0.7734, 0.0197)
Ac (0.1169, 0.2338, 0.3181)
Ac (0.1140, 0.2280, 0.7310)
Ac (0.8831, 0.7662, 0.8181)
Ac (0.8860, 0.7720, 0.2310)
Pr (0.4109, 0.8218, 0.4641)
Pr (0.5891, 0.1782, 0.9641)
Ho (0.2058, 0.4116, 0.0101)
Ho (0.7942, 0.5884, 0.5101)

Entry 8:
Material: AcPr2ErTl2
Method: DFT, GGA-PBE
State: relaxed

Computed properties:
Symmetry: Pmc2_1
E_form: -0.25 eV per atom
Total DFT energy (no corrections): -4.08 eV/atom

Cell: 4.9141 8.5986 9.6457 Å, 90.00 90.00 90.00°
Fractional coordinates of all 12 atoms:
Pr (0.0000, 0.8665, 0.8254)
Pr (0.5000, 0.5335, 0.9199)
Pr (0.5000, 0.0335, 0.0801)
Pr (0.0000, 0.3665, 0.1746)
Tl (0.0000, 0.2413, 0.8690)
Tl (0.0000, 0.7413, 0.1310)
Tl (0.5000, 0.2738, 0.3794)
Tl (0.5000, 0.7738, 0.6206)
Ac (0.0000, 0.4827, 0.5819)
Ac (0.0000, 0.9827, 0.4181)
Er (0.5000, 0.1478, 0.6884)
Er (0.5000, 0.6478, 0.3116)

Entry 9:
Material: FePd2RhSe6
Method: DFT, GGA-PBE
State: relaxed

Computed properties:
Symmetry: C2/c
Uncorrected formation energy: -0.121 eV per atom
Total DFT energy (no corrections): -4.83 eV/atom

Cell: 6.1884 8.7392 8.7392 Å, 95.52 75.07 75.07°
Fractional coordinates of all 20 atoms:
Se (0.3284, 0.1817, 0.0696)
Se (0.1816, 0.6677, 0.5493)
Se (0.8184, 0.3323, 0.4507)
Se (0.1369, 0.6410, 0.0429)
Se (0.8284, 0.0696, 0.1817)
Se (0.3631, 0.9571, 0.3590)
Se (0.1716, 0.9304, 0.8183)
Se (0.6816, 0.5493, 0.6677)
Se (0.6369, 0.0429, 0.6410)
Se (0.8631, 0.3590, 0.9571)
Se (0.6716, 0.8183, 0.9304)
Se (0.3184, 0.4507, 0.3323)
Pd (0.4808, 0.2193, 0.4602)
Pd (0.9808, 0.4602, 0.2193)
Pd (0.0192, 0.5398, 0.7807)
Pd (0.5192, 0.7807, 0.5398)
Rh (0.7500, 0.0841, 0.9159)
Rh (0.2500, 0.9159, 0.0841)
Fe (0.7500, 0.8179, 0.1821)
Fe (0.2500, 0.1821, 0.8179)